# PBE-GGA LiZnAgHg, optimized geometry
# - Uncorrected energy: -1.76 eV per atom
# - Spin magnetization: 0.000 μB per atom
data_LiZnAgHg
_symmetry_space_group_name_H-M 'F -4 3 m'
_symmetry_Int_Tables_number 216
_symmetry_space_group_name_Hall 'F -4 2 3'
_cell_length_a 6.4800
_cell_length_b 6.4800
_cell_length_c 6.4800
_cell_angle_alpha 90.00
_cell_angle_beta 90.00
_cell_angle_gamma 90.00
loop_
_atom_site_label
_atom_site_fract_x
_atom_site_fract_y
_atom_site_fract_z
_atom_site_occupancy
Li1 0.0000 0.0000 0.0000 1
Zn1 0.0000 0.0000 0.5000 1
Ag1 0.2500 0.2500 0.2500 1
Hg1 0.2500 0.2500 0.7500 1


# PBE-GGA KNa2Se, optimized geometry
# - ΔE_f (raw): -0.5089 eV per atom
# - Spin magnetization: 0.000 μB per atom
data_KNa2Se
_symmetry_space_group_name_H-M 'I -4 2 d'
_symmetry_Int_Tables_number 122
_symmetry_space_group_name_Hall 'I -4 2bw'
_cell_length_a 8.6467
_cell_length_b 8.6467
_cell_length_c 12.7625
_cell_angle_alpha 90.00
_cell_angle_beta 90.00
_cell_angle_gamma 90.00
loop_
_atom_site_label
_atom_site_fract_x
_atom_site_fract_y
_atom_site_fract_z
_atom_site_occupancy
K1 0.0000 0.0000 0.0000 1
Na1 0.0015 0.2500 0.6250 1
Se1 0.0000 0.0000 0.5000 1


# PBE-GGA SrLa12Pr6, optimized geometry
# - Uncorrected energy: -4.41 eV per atom
# - Spin magnetization: 0.000 μB per atom
data_SrLa12Pr6
_symmetry_space_group_name_H-M 'R -3 m'
_symmetry_Int_Tables_number 166
_symmetry_space_group_name_Hall '-R 3 2"'
_cell_length_a 14.4354
_cell_length_b 14.4354
_cell_length_c 12.2917
_cell_angle_alpha 90.00
_cell_angle_beta 90.00
_cell_angle_gamma 120.00
loop_
_atom_site_label
_atom_site_fract_x
_atom_site_fract_y
_atom_site_fract_z
_atom_site_occupancy
Sr1 0.0000 0.0000 0.0000 1
La1 0.0000 0.3889 0.5000 1
La2 0.0896 0.1792 0.3449 1
Pr1 0.0070 0.5035 0.2618 1


# PBE-GGA HfNp3N4, optimized geometry
# - ΔE_f (raw): -1.2963 eV per atom
# - Spin magnetization: 1.129 μB per atom
data_HfNp3N4
_symmetry_space_group_name_H-M 'P 1 2/c 1'
_symmetry_Int_Tables_number 13
_symmetry_space_group_name_Hall '-P 2yc'
_cell_length_a 5.8967
_cell_length_b 6.7504
_cell_length_c 5.8173
_cell_angle_alpha 90.00
_cell_angle_beta 109.48
_cell_angle_gamma 90.00
loop_
_atom_site_label
_atom_site_fract_x
_atom_site_fract_y
_atom_site_fract_z
_atom_site_occupancy
Hf1 0.0000 0.1215 0.2500 1
Np1 0.0000 0.3752 0.7500 1
Np2 0.5000 0.1234 0.7500 1
Np3 0.5000 0.3733 0.2500 1
N1 0.2315 0.1177 0.9982 1
N2 0.2376 0.3626 0.4906 1


# PBE-GGA Ac4AsOsBr2, optimized geometry
# - ΔE_f (raw): -1.0699 eV per atom
# - Spin magnetization: 0.000 μB per atom
data_Ac4AsOsBr2
_symmetry_space_group_name_H-M 'P 1 2/m 1'
_symmetry_Int_Tables_number 10
_symmetry_space_group_name_Hall '-P 2y'
_cell_length_a 8.0042
_cell_length_b 4.3736
_cell_length_c 8.2895
_cell_angle_alpha 90.00
_cell_angle_beta 105.98
_cell_angle_gamma 90.00
loop_
_atom_site_label
_atom_site_fract_x
_atom_site_fract_y
_atom_site_fract_z
_atom_site_occupancy
Ac1 0.2130 0.0000 0.1986 1
Ac2 0.2453 0.5000 0.7976 1
As1 0.5000 0.0000 0.0000 1
Os1 0.0000 0.5000 0.0000 1
Br1 0.0000 0.0000 0.5000 1
Br2 0.5000 0.5000 0.5000 1


# PBE-GGA RhPbSe2, optimized geometry
# - ΔE_f (raw): -0.0047 eV per atom
# - Spin magnetization: 0.000 μB per atom
data_RhPbSe2
_symmetry_space_group_name_H-M 'P 4/m m m'
_symmetry_Int_Tables_number 123
_symmetry_space_group_name_Hall '-P 4 2'
_cell_length_a 3.2681
_cell_length_b 3.2681
_cell_length_c 7.8886
_cell_angle_alpha 90.00
_cell_angle_beta 90.00
_cell_angle_gamma 90.00
loop_
_atom_site_label
_atom_site_fract_x
_atom_site_fract_y
_atom_site_fract_z
_atom_site_occupancy
Rh1 0.0000 0.0000 0.0000 1
Pb1 0.0000 0.0000 0.5000 1
Se1 0.5000 0.5000 0.1861 1